This record from Alexandria via LeMat-Bulk describes an optimized crystal structure of K2TaF. The functional is PBE.

Cell: 5.821 5.821 5.821 Å, 60.00 60.00 60.00°
Element x y z (fractional)
K  0.250  0.250  0.250
K  0.750  0.750  0.750
F  0.000  0.000  0.000
Ta  0.500  0.500  0.500

The crystal system is cubic. As for the formation energy from raw total energies: 670.0 meV/atom. The magnetization comes out at 1.00 μB/atom. The calculation puts the energy above the most stable polymorph in this dataset at 1.762 eV per formula unit. Its density of states at the Fermi level is 4.34 states/eV/cell.



This record from Alexandria via LeMat-Bulk describes an optimized crystal structure of TbScSiAg. The functional is PBE.

Cell: 4.917 4.917 4.917 Å, 60.00 60.00 60.00°
Element x y z (fractional)
Sc  0.500  0.500  0.500
Si  0.750  0.750  0.750
Tb  0.000  0.000  0.000
Ag  0.250  0.250  0.250

The crystal system is cubic. As for the formation energy from raw total energies: -428.1 meV/atom. The magnetization comes out at 0.10 μB/atom. Its density of states at the Fermi level is 3.68 states/eV/cell.



This record from Alexandria via LeMat-Bulk describes an optimized crystal structure of La8PmTm2. The functional is PBE.

Cell: 6.097 9.263 9.607 Å, 61.18 74.26 55.76°
Element x y z (fractional)
La  0.815  0.096  0.241
La  0.815  0.337  0.759
La  0.298  0.421  0.000
La  0.500  0.794  0.412
La  0.500  0.206  0.588
La  0.702  0.579  0.000
La  0.185  0.663  0.241
La  0.185  0.904  0.759
Pm  0.500  0.000  0.000
Tm  0.000  0.312  0.377
Tm  0.000  0.688  0.623

The crystal system is monoclinic. The magnetization comes out at 0.00 μB/atom. The calculation puts the energy relative to the elements at 0.1208 eV per atom. Its density of states at the Fermi level is 16.46 states/eV/cell.



no.,uncorrected energy (eV for the cell shown)
1,-13.2
2,-20.9
3,-51.8